[1]
Nd2Ge3Pt2: optimized geometry, PBE.

a = 4.3357 Å, b = 18.5706 Å, c = 7.1448 Å
α = 90.00°, β = 90.00°, γ = 90.00°
Space group Cmcm (No. 63)
Symmetry-distinct sites (fractional):
1 Nd 0.0000 0.0547 0.2500 [4 per cell]
2 Nd 0.0000 0.1550 0.7500 [4 per cell]
3 Ge 0.0000 0.2241 0.2500 [4 per cell]
4 Ge 0.0000 0.4374 0.0658 [8 per cell]
5 Pt 0.0000 0.3056 0.5483 [8 per cell]

Offset from the most stable computed form, eV/f.u.: 0.000
ΔH_f (0 K), eV/atom: -0.90
Total moment, μB/cell: 0.00

***

[2]
Nd7Ge2Pt2: optimized geometry, PBE.

a = 8.2529 Å, b = 11.1768 Å, c = 7.0777 Å
α = 90.00°, β = 90.00°, γ = 90.00°
Space group Cmmm (No. 65)
Symmetry-distinct sites (fractional):
1 Nd 0.0000 0.0000 0.0000 [2 per cell]
2 Nd 0.0000 0.5000 0.2551 [4 per cell]
3 Nd 0.2500 0.2500 0.2697 [8 per cell]
4 Ge 0.1652 0.0000 0.5000 [4 per cell]
5 Pt 0.0000 0.2852 0.0000 [4 per cell]

ΔH_f (0 K), eV/atom: -0.53
Total moment, μB/cell: 0.00

***

[3]
Nd2Ge3Pt5: optimized geometry, PBE.

a = 4.2761 Å, b = 24.6750 Å, c = 7.4298 Å
α = 90.00°, β = 90.00°, γ = 90.00°
Space group Cmc2_1 (No. 36)
Symmetry-distinct sites (fractional):
1 Nd 0.0000 0.0402 0.0000 [4 per cell]
2 Nd 0.0000 0.3318 0.2313 [4 per cell]
3 Ge 0.0000 0.1241 0.3007 [4 per cell]
4 Ge 0.0000 0.2653 0.7569 [4 per cell]
5 Ge 0.0000 0.4607 0.1837 [4 per cell]
6 Pt 0.0000 0.0865 0.6077 [4 per cell]
7 Pt 0.0000 0.2092 0.0424 [4 per cell]
8 Pt 0.0000 0.2150 0.4540 [4 per cell]
9 Pt 0.0000 0.3622 0.6253 [4 per cell]
10 Pt 0.0000 0.4532 0.8454 [4 per cell]

Offset from the most stable computed form, eV/f.u.: 0.500
ΔH_f (0 K), eV/atom: -0.85
Total moment, μB/cell: 0.00

***

[4]
Nd2Ge5Pt3: optimized geometry, PBE.

a = 10.2988 Å, b = 11.9789 Å, c = 6.3422 Å
α = 90.00°, β = 90.00°, γ = 90.00°
Space group Ibam (No. 72)
Symmetry-distinct sites (fractional):
1 Nd 0.2297 0.1310 0.0000 [8 per cell]
2 Ge 0.0000 0.0000 0.2500 [4 per cell]
3 Ge 0.0000 0.2715 0.2500 [8 per cell]
4 Ge 0.1538 0.3936 0.0000 [8 per cell]
5 Pt 0.0000 0.5000 0.2500 [4 per cell]
6 Pt 0.1106 0.1380 0.5000 [8 per cell]

ΔH_f (0 K), eV/atom: -0.83
Total moment, μB/cell: 0.00

***

[5]
NdGePt: optimized geometry, PBE.

a = 10.7192 Å, b = 4.4080 Å, c = 7.3177 Å
α = 90.00°, β = 132.33°, γ = 90.00°
Space group C2/m (No. 12)
Symmetry-distinct sites (fractional):
1 Nd 0.0516 0.0000 0.3143 [4 per cell]
2 Ge 0.1618 0.5000 0.0886 [4 per cell]
3 Pt 0.1774 0.5000 0.7201 [4 per cell]

ΔH_f (0 K), eV/atom: -1.02
Total moment, μB/cell: 0.00

***

[6]
Nd4GePt3: optimized geometry, PBE.

a = 4.0363 Å, b = 4.4482 Å, c = 11.0427 Å
α = 90.00°, β = 90.00°, γ = 90.00°
Space group Pmm2 (No. 25)
Symmetry-distinct sites (fractional):
1 Nd 0.0000 0.0000 0.0000 [1 per cell]
2 Nd 0.0000 0.5000 0.2719 [1 per cell]
3 Nd 0.5000 0.0000 0.4918 [1 per cell]
4 Nd 0.5000 0.5000 0.7727 [1 per cell]
5 Ge 0.0000 0.0000 0.7140 [1 per cell]
6 Pt 0.0000 0.5000 0.5497 [1 per cell]
7 Pt 0.5000 0.0000 0.2200 [1 per cell]
8 Pt 0.5000 0.5000 0.0456 [1 per cell]

ΔH_f (0 K), eV/atom: -1.06
Total moment, μB/cell: 0.00

***

Q: Number 1 is which compound?
A: Nd2Ge3Pt2